## LaMn3O (PBE+U)

Data for LaMn3O after structural relaxation.

Unit cell a=5.5213 b=5.5213 c=5.5213 alpha=90.00 beta=90.00 gamma=90.00
With the nearest neighbours (Å) after each atom.
Sites, in units of the cell vectors:
La  0.0000  0.0000  0.0000  6 Mn 2.76
Mn  0.5000  0.0000  0.0000  2 La 2.76
Mn  0.0000  0.5000  0.0000  2 La 2.76
Mn  0.0000  0.0000  0.5000  2 La 2.76
O  0.5000  0.5000  0.5000  12 Mn 3.90

Computed properties:
Magnetic moment: 2.55 μB/atom
Space-group type: No. 221
Crystal system: cubic
Excess energy over the best structure of this formula in the dataset: 2.056 eV/atom